The following is a DFT calculation (PBEsol) of a geometry-optimized Zr2BeTl structure.

Computed properties:
As for the total magnetization: 0.0 μB per formula unit. For the energy of formation, the calculation gives -104 meV per atom. Its energy above the lowest structure with this stoichiometry is 0 meV per atom.

abc: 3.021 3.021 8.144
angles: 90.00 90.00 90.00
Space group P4/mmm (No. 123)
Unique sites:
Zr 0.000 0.000 0.206 [2 per cell]
Be 0.500 0.500 0.000 [1 per cell]
Tl 0.500 0.500 0.500 [1 per cell]

The following is a DFT calculation (PBEsol) of a geometry-optimized ZrBeTl2 structure.

Computed properties:
As for the total magnetization: 0.0 μB per formula unit. For the energy of formation, the calculation gives 328 meV per atom. Its energy above the lowest structure with this stoichiometry is 0 meV per atom.

abc: 3.1979 3.1979 27.3309
angles: 90.00 90.00 120.00
Space group R-3m (No. 166, hexagonal axes)
Unique sites:
Zr 0.0000 0.0000 0.0000 [3 per cell]
Be 0.0000 0.0000 0.5000 [3 per cell]
Tl 0.0000 0.0000 0.2395 [6 per cell]

The following is a DFT calculation (PBEsol) of a geometry-optimized Zr2BeTl structure.

Computed properties:
As for the total magnetization: 0.0 μB per formula unit. For the energy of formation, the calculation gives 90 meV per atom. Its energy above the lowest structure with this stoichiometry is 194 meV per atom.

abc: 6.746 6.746 6.746
angles: 90.00 90.00 90.00
Space group Fm-3m (No. 225)
Unique sites:
Zr 0.250 0.250 0.250 [8 per cell]
Be 0.000 0.000 0.000 [4 per cell]
Tl 0.000 0.000 0.500 [4 per cell]

The following is a DFT calculation (PBEsol) of a geometry-optimized UBe13 structure.

Computed properties:
As for the total magnetization: 2.0 μB per formula unit. For the energy of formation, the calculation gives -44 meV per atom.

abc: 10.122 10.122 10.122
angles: 90.00 90.00 90.00
Space group Fm-3c (No. 226)
Unique sites:
U 0.250 0.250 0.250 [8 per cell]
Be 0.000 0.000 0.000 [8 per cell]
Be 0.000 0.116 0.176 [96 per cell]